Record 1
Here is a relaxed MnHPd2 crystal from Alexandria. Energies are from PBE.

Cell: 2.8245 2.8245 6.2072 Å, 90.00 90.00 90.00°
Last column: nearest neighbours and their distance in Å.
Space group P4/mmm (No. 123)
Inequivalent atoms, fractional coordinates:
Mn 0.0000 0.0000 0.0000 [1 per cell]  8 Pd 2.67, 4 Mn 2.82
H 0.0000 0.0000 0.5000 [1 per cell]  8 Pd 2.40
Pd 0.5000 0.5000 0.2857 [2 per cell]  4 H 2.40, 1 Pd 2.66, 4 Mn 2.67

Computed properties:
V = 12.4 Å³/atom
Excess energy over the best structure of this formula in the dataset = 0.159 eV/atom
DFT total energy = -22.545 eV per cell

Record 2
Here is a relaxed MnAlBr2 crystal from Alexandria. Energies are from PBE.

Cell: 9.4708 3.4099 7.6600 Å, 90.00 110.24 90.00°
Last column: nearest neighbours and their distance in Å.
Space group Cm (No. 8)
Inequivalent atoms, fractional coordinates:
Mn 0.0000 0.0000 0.0000 [2 per cell]  3 Al 2.59-2.74, 4 Br 2.68-2.75
Al 0.2702 0.0000 0.9898 [2 per cell]  3 Mn 2.59-2.74, 2 Br 2.86
Br 0.0466 0.5000 0.7441 [2 per cell]  2 Mn 2.75, 2 Al 2.86
Br 0.1804 0.5000 0.2480 [2 per cell]  2 Mn 2.68, 2 Al 2.95

Computed properties:
V = 29.0 Å³/atom
Excess energy over the best structure of this formula in the dataset = 0.180 eV/atom
DFT total energy = -33.897 eV per cell
Formation energy (no corrections) = -16.7 kJ per mole of atoms

Record 3
Here is a relaxed CaMgSb2 crystal from Alexandria. Energies are from PBE.

Cell: 22.7690 4.4383 4.4591 Å, 90.00 90.00 90.00°
Last column: nearest neighbours and their distance in Å.
Space group Pnma (No. 62)
Inequivalent atoms, fractional coordinates:
Ca 0.1094 0.2500 0.2295 [4 per cell]  8 Sb 3.29-3.42
Mg 0.2501 0.2500 0.7280 [4 per cell]  4 Sb 2.91, 4 Mg 3.15
Sb 0.0015 0.2500 0.7211 [4 per cell]  2 Sb 2.97, 1 Ca 3.29
Sb 0.1677 0.7500 0.7284 [4 per cell]  4 Mg 2.91

Computed properties:
V = 28.2 Å³/atom
DFT total energy = -57.696 eV per cell
Formation energy (no corrections) = -62.3 kJ per mole of atoms